Entry 1:
CsTl2F4 | PBE | optimized geometry

a b c (Å): 7.436 7.760 7.935
angles (deg): 116.44 99.34 110.79
Space group P1 (No. 1)
Unique sites:
Cs1 0.000 0.000 0.000 x1
Cs2 0.299 0.585 0.835 x1
Tl1 0.168 0.757 0.402 x1
Tl2 0.629 0.276 0.898 x1
Tl3 0.642 0.349 0.428 x1
Tl4 0.726 0.869 0.443 x1
F1 0.024 0.697 0.639 x1
F2 0.378 0.204 0.643 x1
F3 0.424 0.298 0.071 x1
F4 0.513 0.941 0.254 x1
F5 0.530 0.912 0.716 x1
F6 0.766 0.636 0.044 x1
F7 0.839 0.311 0.158 x1
F8 0.851 0.279 0.739 x1

## Properties
* formation energy from raw total energies: -2.082 eV/atom
* uncorrected energy: -3.95 eV/atom

***

Entry 2:
Ac2ErRhO6 | PBE | optimized geometry

a b c (Å): 5.801 8.333 6.050
angles (deg): 90.00 90.00 90.00
Space group Pmmn (No. 59, origin choice 2)
Unique sites:
Ac1 0.250 0.019 0.216 x4
Er1 0.250 0.250 0.722 x2
Rh1 0.250 0.750 0.771 x2
O1 0.000 0.250 0.993 x4
O2 0.005 0.250 0.458 x4
O3 0.250 0.506 0.785 x4

## Properties
* formation energy from raw total energies: -2.681 eV/atom
* uncorrected energy: -7.67 eV/atom

***

Entry 3:
Sr2Ti2Ir | PBE | optimized geometry

a b c (Å): 3.583 3.583 20.560
angles (deg): 90.00 90.00 90.00
Space group I4/mmm (No. 139)
Unique sites:
Sr1 0.000 0.000 0.087 x4
Ti1 0.000 0.500 0.250 x4
Ir1 0.000 0.000 0.500 x2

## Properties
* ΔE_f: 0.4009 eV/atom
* uncorrected energy: -5.20 eV/atom

***

Entry 4:
CuSn2Au | PBE | optimized geometry

a b c (Å): 4.573 4.573 17.421
angles (deg): 90.00 90.00 90.00
Space group I-42d (No. 122)
Unique sites:
Cu1 0.000 0.000 0.000 x4
Sn1 0.231 0.250 0.125 x8
Au1 0.000 0.000 0.500 x4

## Properties
* ΔE_f: 0.0755 eV/atom
* uncorrected energy: -3.77 eV/atom

***

Entry 5:
CdIrAu2 | PBE | optimized geometry

a b c (Å): 2.9079 2.9079 28.7468
angles (deg): 90.00 90.00 120.00
Space group R-3m (No. 166, hexagonal axes)
Unique sites:
Cd1 0.0000 0.0000 0.0000 x3
Ir1 0.0000 0.0000 0.5000 x3
Au1 0.0000 0.0000 0.2472 x6

## Properties
* ΔE_f: 0.1922 eV/atom
* uncorrected energy: -3.89 eV/atom

***

Entry 6:
SrAcMg2In2 | PBE | optimized geometry

a b c (Å): 5.1825 5.1825 8.0526
angles (deg): 90.00 90.00 120.00
Space group P-3m1 (No. 164)
Unique sites:
Sr1 0.0000 0.0000 0.0000 x1
Ac1 0.0000 0.0000 0.5000 x1
Mg1 0.3333 0.6667 0.2630 x2
In1 0.3333 0.6667 0.7316 x2

## Properties
* ΔE_f: -0.3422 eV/atom
* uncorrected energy: -2.75 eV/atom

***

Entry 7:
AlRuN2 | PBE | optimized geometry

a b c (Å): 2.9088 2.9088 17.8019
angles (deg): 90.00 90.00 120.00
Space group R-3m (No. 166, hexagonal axes)
Unique sites:
Al1 0.0000 0.0000 0.0000 x3
Ru1 0.0000 0.0000 0.5000 x3
N1 0.0000 0.0000 0.3947 x6

## Properties
* formation energy from raw total energies: 0.026 eV/atom
* uncorrected energy: -7.39 eV/atom

***

Entry 8:
Ac4LaY2 | PBE | optimized geometry

a b c (Å): 7.110 24.695 7.093
angles (deg): 90.00 115.59 90.00
Space group Cc (No. 9)
Unique sites:
Ac1 0.000 0.030 0.000 x4
Ac2 0.002 0.470 0.003 x4
Ac3 0.251 0.173 0.252 x4
Ac4 0.252 0.249 0.752 x4
La1 0.251 0.392 0.751 x4
Y1 0.251 0.106 0.751 x4
Y2 0.252 0.332 0.252 x4

## Properties
* ΔE_f: 0.0705 eV/atom
* uncorrected energy: -4.83 eV/atom